[1]
Computed, not measured: crystalline BaAcAu4 at its relaxed geometry at the GGA-PBE level of DFT.

Lattice parameters (Å, degrees): 4.2748 4.2748 9.5141 98.03 98.02 87.88
Positions (direct):
Ba (0.5000, 0.5000, 0.5000)
Ac (0.0000, 0.0000, 0.0000)
Au (0.5376, 0.5376, 0.1534)
Au (0.4624, 0.4624, 0.8466)
Au (0.0456, 0.0455, 0.6599)
Au (0.9544, 0.9545, 0.3401)

## Properties
density of states at the Fermi level	3.49	states/eV/cell
VASP energy	-3.85	eV per atom
V	28.4	Å³/atom
magnetization	0.0	Bohr magnetons per cell
energy above the lowest structure with this stoichiometry	80.7	meV/atom
ΔE_f	-381.8	kJ/mol of formula units

[2]
Computed, not measured: crystalline Ba4AcAu5 at its relaxed geometry at the GGA-PBE level of DFT.

Lattice parameters (Å, degrees): 4.0091 4.0091 20.1201 90.00 90.00 90.00
Positions (direct):
Ba (0.0000, 0.0000, 0.1983)
Ba (0.0000, 0.0000, 0.3992)
Ba (0.0000, 0.0000, 0.6008)
Ba (0.0000, 0.0000, 0.8017)
Ac (0.0000, 0.0000, 0.0000)
Au (0.5000, 0.5000, 0.0852)
Au (0.5000, 0.5000, 0.2992)
Au (0.5000, 0.5000, 0.5000)
Au (0.5000, 0.5000, 0.7008)
Au (0.5000, 0.5000, 0.9148)

## Properties
density of states at the Fermi level	7.32	states/eV/cell
VASP energy	-3.53	eV per atom
V	32.3	Å³/atom
magnetization	0.0	Bohr magnetons per cell
ΔE_f	-682.8	kJ/mol of formula units

[3]
Computed, not measured: crystalline BaAc2Au3 at its relaxed geometry at the GGA-PBE level of DFT.

Lattice parameters (Å, degrees): 4.4837 7.5039 7.5039 120.00 90.00 90.00
Positions (direct):
Ba (0.0000, 0.0000, 0.0000)
Ac (0.0000, 0.6667, 0.3333)
Ac (0.0000, 0.3333, 0.6667)
Au (0.5000, 0.0000, 0.5000)
Au (0.5000, 0.5000, 0.5000)
Au (0.5000, 0.5000, 0.0000)

## Properties
density of states at the Fermi level	3.88	states/eV/cell
VASP energy	-3.87	eV per atom
V	36.4	Å³/atom
magnetization	0.0	Bohr magnetons per cell
energy above the lowest structure with this stoichiometry	209.3	meV/atom
ΔE_f	-311.9	kJ/mol of formula units